# UNbNiO6, optimized geometry, DFT PBE+U
data_UNbNiO6
_chemical_formula_sum 'U2 Nb2 Ni2 O12'
_symmetry_space_group_name_H-M 'P 1'
_symmetry_Int_Tables_number 1
_cell_length_a 5.191
_cell_length_b 5.191
_cell_length_c 9.658
_cell_angle_alpha 90.00
_cell_angle_beta 90.00
_cell_angle_gamma 120.00
loop_
_symmetry_equiv_pos_as_xyz
'x,y,z'
loop_
_atom_site_label
_atom_site_type_symbol
_atom_site_fract_x
_atom_site_fract_y
_atom_site_fract_z
O1 O 0.012 0.667 0.867
O2 O 0.344 0.012 0.133
Ni1 Ni 0.667 0.333 0.750
O3 O 0.344 0.333 0.367
O4 O 0.656 0.667 0.633
O5 O 0.667 0.012 0.367
O6 O 0.333 0.344 0.867
O7 O 0.988 0.656 0.367
O8 O 0.656 0.988 0.867
O9 O 0.012 0.344 0.633
U1 U 0.000 0.000 0.000
O10 O 0.988 0.333 0.133
Ni2 Ni 0.333 0.667 0.250
O11 O 0.667 0.656 0.133
Nb1 Nb 0.667 0.333 0.250
Nb2 Nb 0.333 0.667 0.750
U2 U 0.000 0.000 0.500
O12 O 0.333 0.988 0.633
# Final energy (eV for the cell shown): -151.84
# Space-group type: P-31c (163)
# Crystal system: trigonal